No. 1
The following is a PBE with a Hubbard U calculation of CrSiPO2 after structural relaxation, from Alexandria via LeMat-Bulk.

Results
Mass density   3.59 Mg/m³
Calculated volume   66.25 Å³/f.u.
Space-group type   P4/mmm (123)
Distance to the lowest polymorph of the same formula   0.00 eV/f.u.
E_tot   -6.576 eV per atom

Lattice parameters (Å, degrees): 3.4085 3.4085 5.7027 90.00 90.00 90.00
Site moments in Bohr magnetons follow the coordinates.
Fractional positions:
O 0.0000 0.5000 0.0000  -0.04
O 0.5000 0.0000 0.0000  -0.04
Cr 0.5000 0.5000 0.5000  3.65
Si 0.0000 0.0000 0.0000  0.01
P 0.0000 0.0000 0.5000  -0.29

---

No. 2
The following is a PBE with a Hubbard U calculation of SmCrP2O8 after structural relaxation, from Alexandria via LeMat-Bulk.

Results
Mass density   4.31 Mg/m³
Calculated volume   151.06 Å³/f.u.
Space-group type   P-3m1 (164)
E_tot   -7.727 eV per atom

Lattice parameters (Å, degrees): 5.1158 5.1158 6.6649 90.00 90.00 120.00
Site moments in Bohr magnetons follow the coordinates.
Fractional positions:
O 0.1673 0.8327 0.8010  -0.01
O 0.1673 0.3347 0.8010  -0.01
O 0.6653 0.8327 0.8010  -0.01
O 0.8327 0.1673 0.1990  -0.01
O 0.6667 0.3333 0.5006  -0.01
O 0.3347 0.1673 0.1990  -0.01
O 0.3333 0.6667 0.4994  -0.01
O 0.8327 0.6653 0.1990  -0.01
Cr 0.0000 0.0000 0.0000  2.92
P 0.3333 0.6667 0.7294  0.00
P 0.6667 0.3333 0.2706  0.00
Sm 0.0000 0.0000 0.5000  0.01

---

No. 3
The following is a PBE with a Hubbard U calculation of CrSnPO2 after structural relaxation, from Alexandria via LeMat-Bulk.

Results
Mass density   5.28 Mg/m³
Calculated volume   73.50 Å³/f.u.
Space-group type   P4/mmm (123)
Distance to the lowest polymorph of the same formula   0.00 eV/f.u.
E_tot   -5.981 eV per atom

Lattice parameters (Å, degrees): 3.8090 3.8090 5.0664 90.00 90.00 90.00
Site moments in Bohr magnetons follow the coordinates.
Fractional positions:
Sn 0.5000 0.5000 0.5000  0.02
Cr 0.0000 0.0000 0.0000  2.57
O 0.5000 0.0000 0.0000  -0.20
O 0.0000 0.5000 0.0000  -0.20
P 0.0000 0.0000 0.5000  -0.13

---

No. 4
The following is a PBE with a Hubbard U calculation of CrSnPO2 after structural relaxation, from Alexandria via LeMat-Bulk.

Results
Mass density   4.48 Mg/m³
Calculated volume   86.63 Å³/f.u.
Space-group type   P4/mmm (123)
Distance to the lowest polymorph of the same formula   1.71 eV/f.u.
E_tot   -5.638 eV per atom

Lattice parameters (Å, degrees): 3.9219 3.9219 5.6321 90.00 90.00 90.00
Site moments in Bohr magnetons follow the coordinates.
Fractional positions:
O 0.0000 0.5000 0.0000  -0.12
O 0.5000 0.0000 0.0000  -0.12
Sn 0.0000 0.0000 0.0000  -0.01
P 0.0000 0.0000 0.5000  -0.35
Cr 0.5000 0.5000 0.5000  3.92

---

No. 5
The following is a PBE with a Hubbard U calculation of CrSn3P6O24 after structural relaxation, from Alexandria via LeMat-Bulk.

Results
Mass density   3.41 Mg/m³
Calculated volume   476.46 Å³/f.u.
Space-group type   R3 (146)
E_tot   -6.900 eV per atom

Lattice parameters (Å, degrees): 8.9837 8.9837 8.9837 56.94 56.94 56.94
Site moments in Bohr magnetons follow the coordinates.
Fractional positions:
O 0.9977 0.6258 0.8040  0.12
O 0.9941 0.3884 0.1912  0.07
O 0.4776 0.7687 0.8495  0.06
O 0.5260 0.2248 0.1541  0.08
O 0.1912 0.9941 0.3884  0.07
O 0.5344 0.4354 0.8111  0.06
O 0.4354 0.8111 0.5344  0.06
O 0.8810 0.1191 0.2702  0.05
O 0.1541 0.5260 0.2248  0.08
O 0.6258 0.8040 0.9977  0.12
O 0.1798 0.4986 0.5430  0.05
O 0.0874 0.9008 0.7376  0.16
O 0.2702 0.8810 0.1191  0.05
O 0.5430 0.1798 0.4986  0.05
O 0.9008 0.7376 0.0874  0.16
O 0.8111 0.5344 0.4354  0.06
O 0.8495 0.4776 0.7687  0.06
O 0.4986 0.5430 0.1798  0.05
O 0.7376 0.0874 0.9008  0.16
O 0.8040 0.9977 0.6258  0.12
O 0.2248 0.1541 0.5260  0.08
O 0.3884 0.1912 0.9941  0.07
O 0.7687 0.8495 0.4776  0.06
O 0.1191 0.2702 0.8810  0.05
P 0.7484 0.0359 0.4682  -0.01
P 0.4682 0.7484 0.0359  -0.01
P 0.9669 0.5428 0.2388  -0.01
P 0.5428 0.2388 0.9669  -0.01
P 0.2388 0.9669 0.5428  -0.01
P 0.0359 0.4682 0.7484  -0.01
Sn 0.3555 0.3555 0.3555  0.00
Sn 0.6462 0.6462 0.6462  -0.01
Sn 0.1407 0.1407 0.1407  0.00
Cr 0.8563 0.8563 0.8563  -2.00

---

No. 6
The following is a PBE with a Hubbard U calculation of Ti3Cr2SnP6O24 after structural relaxation, from Alexandria via LeMat-Bulk.

Results
Mass density   3.29 Mg/m³
Calculated volume   471.91 Å³/f.u.
Space-group type   R3 (146)
E_tot   -7.672 eV per atom

Lattice parameters (Å, degrees): 8.8011 8.8011 8.8011 59.08 59.08 59.08
Site moments in Bohr magnetons follow the coordinates.
Fractional positions:
O 0.5034 0.8812 0.6919  0.00
O 0.8032 0.6199 0.0041  -0.01
O 0.2700 0.0530 0.9153  -0.01
O 0.2322 0.5832 0.4385  -0.01
O 0.8812 0.6919 0.5034  0.00
O 0.4385 0.2322 0.5832  -0.01
O 0.0041 0.8032 0.6199  -0.01
O 0.9794 0.2071 0.3839  0.00
O 0.7297 0.9448 0.0801  -0.01
O 0.0530 0.9153 0.2700  -0.01
O 0.4978 0.1226 0.3023  0.00
O 0.1226 0.3023 0.4978  0.00
O 0.6199 0.0041 0.8032  -0.01
O 0.5832 0.4385 0.2322  -0.01
O 0.5714 0.7672 0.4157  -0.01
O 0.6919 0.5034 0.8812  0.00
O 0.7672 0.4157 0.5714  -0.01
O 0.3839 0.9794 0.2071  0.00
O 0.2071 0.3839 0.9794  0.00
O 0.9153 0.2700 0.0530  -0.01
O 0.4157 0.5714 0.7672  -0.01
O 0.9448 0.0801 0.7297  -0.01
O 0.0801 0.7297 0.9448  -0.01
O 0.3023 0.4978 0.1226  0.00
P 0.2514 0.5443 0.9568  0.01
P 0.7472 0.4615 0.0416  0.01
P 0.4615 0.0416 0.7472  0.01
P 0.5443 0.9568 0.2514  0.01
P 0.9568 0.2514 0.5443  0.01
P 0.0416 0.7472 0.4615  0.01
Cr 0.9972 0.9972 0.9972  4.17
Cr 0.5012 0.5012 0.5012  4.23
Sn 0.1445 0.1445 0.1445  0.01
Ti 0.3558 0.3558 0.3558  0.33
Ti 0.8553 0.8553 0.8553  0.43
Ti 0.6455 0.6455 0.6455  0.30

---

No. 7
The following is a PBE with a Hubbard U calculation of V3CrSn2P6O24 after structural relaxation, from Alexandria via LeMat-Bulk.

Results
Mass density   3.48 Mg/m³
Calculated volume   483.02 Å³/f.u.
Space-group type   R3 (146)
E_tot   -7.341 eV per atom

Lattice parameters (Å, degrees): 9.0794 9.0794 9.0794 56.23 56.23 56.23
Site moments in Bohr magnetons follow the coordinates.
Fractional positions:
O 0.5728 0.7835 0.4274  -0.02
O 0.7164 0.4942 0.8712  -0.01
O 0.9779 0.2448 0.3617  -0.01
O 0.2448 0.3617 0.9779  -0.01
O 0.9288 0.2804 0.0558  -0.01
O 0.5196 0.1375 0.2535  0.00
O 0.1375 0.2535 0.5196  0.00
O 0.9218 0.0759 0.7169  -0.01
O 0.7875 0.6280 0.0048  -0.01
O 0.2535 0.5196 0.1375  0.00
O 0.2804 0.0558 0.9288  -0.01
O 0.0759 0.7169 0.9218  -0.01
O 0.4431 0.2191 0.5752  -0.01
O 0.7835 0.4274 0.5728  -0.02
O 0.2191 0.5752 0.4431  -0.01
O 0.4942 0.8712 0.7164  -0.01
O 0.3617 0.9779 0.2448  -0.01
O 0.5752 0.4431 0.2191  -0.01
O 0.8712 0.7164 0.4942  -0.01
O 0.0558 0.9288 0.2804  -0.01
O 0.7169 0.9218 0.0759  -0.01
O 0.4274 0.5728 0.7835  -0.02
O 0.6280 0.0048 0.7875  -0.01
O 0.0048 0.7875 0.6280  -0.01
P 0.5363 0.9620 0.2500  0.01
P 0.4660 0.0339 0.7516  0.00
P 0.7516 0.4660 0.0339  0.00
P 0.0339 0.7516 0.4660  0.00
P 0.2500 0.5363 0.9620  0.01
P 0.9620 0.2500 0.5363  0.01
V 0.3489 0.3489 0.3489  1.88
V 0.6472 0.6472 0.6472  1.04
V 0.8534 0.8534 0.8534  1.04
Sn 0.4911 0.4911 0.4911  0.00
Sn 0.0110 0.0110 0.0110  0.00
Cr 0.1508 0.1508 0.1508  2.93

---

No. 8
The following is a PBE with a Hubbard U calculation of SrCr2PO after structural relaxation, from Alexandria via LeMat-Bulk.

Results
Mass density   4.03 Mg/m³
Calculated volume   98.33 Å³/f.u.
Space-group type   P4/mmm (123)
E_tot   -4.770 eV per atom

Lattice parameters (Å, degrees): 3.9929 6.1677 3.9929 90.00 90.00 90.00
Site moments in Bohr magnetons follow the coordinates.
Fractional positions:
Cr 0.0000 0.0000 0.5000  -0.26
Cr 0.5000 0.0000 0.0000  -0.04
P 0.0000 0.5000 0.0000  0.09
O 0.0000 0.0000 0.0000  0.08
Sr 0.5000 0.5000 0.5000  0.01